A geometry-optimized NdCdAg structure. Source: Alexandria via LeMat-Bulk, functional PBE-GGA.

Properties
V in Å³ per cell: 73.85
Crystal system: hexagonal
Energy in eV/atom: -3.150
Magnetization in μB/cell: 0.11

a = 4.9831 Å, b = 4.9831 Å, c = 3.4341 Å
α = 90.00°, β = 90.00°, γ = 120.00°
Space group P-6m2 (No. 187)
One atom of each set of equivalent atoms:
Nd (0.0000, 0.0000, 0.0000) (multiplicity 1)
Cd (0.3333, 0.6667, 0.5000) (multiplicity 1)
Ag (0.6667, 0.3333, 0.5000) (multiplicity 1)